A PBEsol-optimized structure of BeCoSb2I, computed with SCAN.

Values from the calculation:
As for the formation energy from raw total energies: 0.941 eV/atom. The space group is P4/mmm.

abc: 4.762 4.762 5.113
angles: 90.00 90.00 90.00
Positions (direct):
1 I 0.000 0.000 0.500
2 Sb 0.500 0.000 0.000
3 Sb 0.000 0.500 0.000
4 Co 0.500 0.500 0.500
5 Be 0.000 0.000 0.000

=====

A PBEsol-optimized structure of BeInCo, computed with SCAN.

Values from the calculation:
The polymorph energy (0 for the lowest one) comes out at 0 meV per atom. The space group is I4mm.

abc: 2.923 2.923 4.906
angles: 107.33 107.33 90.00
Positions (direct):
1 Be 0.960 0.960 0.920
2 In 0.671 0.671 0.342
3 Co 0.369 0.369 0.738

=====

A PBEsol-optimized structure of Be2InCo, computed with SCAN.

Values from the calculation:
The space group is C2/m.

abc: 2.993 4.227 4.277
angles: 105.98 90.00 110.74
Positions (direct):
1 Co 0.500 0.000 0.000
2 Be 0.219 0.439 0.143
3 Be 0.781 0.561 0.857
4 In 0.000 0.000 0.500

=====

A PBEsol-optimized structure of Be2InCo, computed with SCAN.

Values from the calculation:
The space group is F-43m.

abc: 4.059 4.059 4.059
angles: 60.00 60.00 60.00
Positions (direct):
1 Co 0.500 0.500 0.500
2 Be 0.000 0.000 0.000
3 Be 0.750 0.750 0.750
4 In 0.250 0.250 0.250

=====

A PBEsol-optimized structure of BeInCo, computed with SCAN.

Values from the calculation:
The polymorph energy (0 for the lowest one) comes out at 385 meV per atom. The space group is P3m1.

abc: 2.844 2.844 5.950
angles: 90.00 90.00 120.00
Positions (direct):
1 Be 0.000 0.000 0.952
2 Co 0.333 0.667 0.703
3 In 0.667 0.333 0.345

=====

A PBEsol-optimized structure of Be2InCo, computed with SCAN.

Values from the calculation:
The space group is Imm2.

abc: 3.301 3.690 4.551
angles: 113.91 111.27 90.00
Positions (direct):
1 Be 0.004 0.504 0.008
2 Be 0.769 0.769 0.537
3 Co 0.484 0.984 0.968
4 In 0.243 0.243 0.487

=====

Sequential E_tot output: -128.22 -54.83 -58.81 -58.21 -53.67 -58.71 eV/cell